Density functional theory data (PBE) for a relaxed structure of TbZr6Sc12.

The calculation puts the spin magnetization at 0.01 Bohr magnetons per cell. The value obtained for the distance to the lowest polymorph of the same formula is 417 meV per atom. The value obtained for the formation energy is 0.47 eV per atom.

The space group is R-3m (No. 166, hexagonal axes) and the conventional cell measures 12.2341, 12.2341 and 11.5172 Å, with angles of 90.00, 90.00 and 120.00 degrees. The distinct sites, in fractional coordinates, are Tb at (0.0000, 0.0000, 0.0000), Zr at (0.0307, 0.5153, 0.7172), Sc at (0.0000, 0.3805, 0.5000) and Sc at (0.0942, 0.1885, 0.3770).